First-principles (PBE) data for a geometry-optimized TlSe2Cl structure, as listed in the Alexandria database.

```
data_TlSe2Cl
_chemical_formula_sum 'Tl1 Se2 Cl1'
_cell_length_a 4.990
_cell_length_b 4.990
_cell_length_c 5.970
_cell_angle_alpha 90.00
_cell_angle_beta 90.00
_cell_angle_gamma 90.00
_symmetry_space_group_name_H-M 'P 4/m m m'
_symmetry_Int_Tables_number 123
_symmetry_space_group_name_Hall '-P 4 2'
loop_
_atom_site_label
_atom_site_fract_x
_atom_site_fract_y
_atom_site_fract_z
_atom_site_occupancy
Tl1 0.000 0.000 0.000 1
Se1 0.500 0.500 0.187 1
Cl1 0.000 0.000 0.500 1
```

As for the crystal system: tetragonal. The size of the total moment is 2.0 μB/f.u. For the uncorrected formation energy, the calculation gives -0.09 eV/atom. The volume comes out at 37.16 A^3/atom. The total energy is -2.89 eV per atom.